Entry from the Alexandria database: B2C after structural relaxation (GGA-PBE).

ΔH_f (0 K): 307 meV/atom
E above lowest polymorph: 122 meV/atom

Cell: 3.324 3.324 5.468 Å, 113.54 113.54 48.56°
Fractional coordinates of all 6 atoms:
B1 0.119 0.119 0.444
B2 0.350 0.350 0.006
B3 0.650 0.650 0.994
B4 0.881 0.881 0.556
C1 0.392 0.392 0.724
C2 0.608 0.608 0.276